(1)
This record from the Open Quantum Materials Database describes crystalline Tb2GdNi2B2P3 at its relaxed geometry. The functional is PBE-GGA.

abc: 3.9552 3.9552 21.3279
angles: 90.00 90.00 90.00
Last column: nearest neighbours and their distance in Å.
Space group I4/mmm (No. 139)
Asymmetric unit:
Tb (0.0000, 0.0000, 0.1376)  5 P 2.80-2.94, 1 B 3.04, 4 Ni 3.11
Gd (0.0000, 0.0000, 0.5000)  6 P 2.75-2.80
Ni (0.0000, 0.5000, 0.2500)  4 B 2.08
B (0.0000, 0.0000, 0.2802)  1 P 1.94, 4 Ni 2.08
P (0.0000, 0.0000, 0.0000)  4 Gd 2.80, 2 Tb 2.94
P (0.0000, 0.0000, 0.3711)  1 B 1.94

V: 166.8 Å³/f.u.
size of the total moment: 0.00 μB per cell
total DFT energy (no corrections): -6.377 eV/atom

(2)
This record from the Open Quantum Materials Database describes crystalline GdYNi2B2P2 at its relaxed geometry. The functional is PBE-GGA.

abc: 3.9118 3.9118 7.8710
angles: 90.00 90.00 90.00
Last column: nearest neighbours and their distance in Å.
Space group P4mm (No. 99)
Asymmetric unit:
Gd (0.0000, 0.0000, 0.0000)  5 P 2.79-2.88, 4 Ni 3.03, 1 B 3.04
Y (0.5000, 0.5000, 0.5898)  5 P 2.79-2.84, 4 Ni 3.04, 1 B 3.08
Ni (0.0000, 0.5000, 0.2940)  4 B 2.09-2.10
B (0.0000, 0.0000, 0.3859)  1 P 1.95, 4 Ni 2.09
B (0.5000, 0.5000, 0.1986)  1 P 1.95, 4 Ni 2.10
P (0.0000, 0.0000, 0.6341)  1 B 1.95
P (0.5000, 0.5000, 0.9506)  1 B 1.95

V: 120.4 Å³/f.u.
size of the total moment: 0.01 μB per cell
total DFT energy (no corrections): -6.552 eV/atom

(3)
This record from the Open Quantum Materials Database describes crystalline PrGdNi8B2 at its relaxed geometry. The functional is PBE-GGA.

abc: 5.0480 5.0480 7.0010
angles: 90.00 90.00 120.00
Last column: nearest neighbours and their distance in Å.
Space group P6/mmm (No. 191)
Asymmetric unit:
Pr (0.0000, 0.0000, 0.0000)  18 Ni 2.91-3.26
Gd (0.0000, 0.0000, 0.5000)  12 Ni 2.90, 6 B 2.91
Ni (0.0000, 0.5000, 0.2954)  2 B 2.04
Ni (0.3333, 0.6667, 0.0000)  6 Ni 2.53
B (0.3333, 0.6667, 0.5000)  6 Ni 2.04

V: 154.5 Å³/f.u.
polymorph energy (0 for the lowest one): 0.00 eV/f.u.
size of the total moment: 0.00 μB per cell

(4)
This record from the Open Quantum Materials Database describes crystalline PrGdNi8B2 at its relaxed geometry. The functional is PBE-GGA.

abc: 5.0575 5.0575 6.9878
angles: 90.00 90.00 120.00
Last column: nearest neighbours and their distance in Å.
Space group P6/mmm (No. 191)
Asymmetric unit:
Pr (0.0000, 0.0000, 0.0000)  12 Ni 2.92, 6 B 2.92
Gd (0.0000, 0.0000, 0.5000)  18 Ni 2.92-3.25
Ni (0.0000, 0.5000, 0.2085)  2 B 2.06
Ni (0.3333, 0.6667, 0.5000)  6 Ni 2.51
B (0.3333, 0.6667, 0.0000)  6 Ni 2.06

V: 154.8 Å³/f.u.
polymorph energy (0 for the lowest one): 0.38 eV/f.u.
size of the total moment: 0.01 μB per cell

(5)
This record from the Open Quantum Materials Database describes crystalline Gd2B2O5 at its relaxed geometry. The functional is PBE-GGA.

abc: 3.6210 3.6210 9.0289
angles: 90.00 90.00 90.00
Last column: nearest neighbours and their distance in Å.
Space group P4/mmm (No. 123)
Asymmetric unit:
Gd (0.0000, 0.0000, 0.2459)  5 O 2.17-2.22
B (0.5000, 0.5000, 0.0000)  4 O 2.56
B (0.5000, 0.5000, 0.5000)  8 O 2.12
O (0.0000, 0.0000, 0.0000)  2 Gd 2.22
O (0.0000, 0.5000, 0.3774)  2 B 2.12, 2 Gd 2.17, 1 O 2.21

V: 118.4 Å³/f.u.
polymorph energy (0 for the lowest one): 10.51 eV/f.u.
size of the total moment: 1.23 μB per cell

(6)
This record from the Open Quantum Materials Database describes crystalline Gd2BO4 at its relaxed geometry. The functional is PBE-GGA.

abc: 8.6521 8.6521 8.6521
angles: 90.00 90.00 90.00
Last column: nearest neighbours and their distance in Å.
Space group Fd-3m (No. 227, origin choice 2)
Asymmetric unit:
Gd (0.0000, 0.0000, 0.0000)  6 O 2.37
B (0.1250, 0.1250, 0.6250)  4 O 1.54
O (0.0222, 0.0222, 0.7278)  1 B 1.54

V: 81.0 Å³/f.u.
size of the total moment: 0.00 μB per cell
total DFT energy (no corrections): -7.699 eV/atom

(7)
This record from the Open Quantum Materials Database describes crystalline Gd4B2O5 at its relaxed geometry. The functional is PBE-GGA.

abc: 11.7530 3.5151 8.5859
angles: 90.00 129.62 90.00
Last column: nearest neighbours and their distance in Å.
Space group C2/m (No. 12)
Asymmetric unit:
Gd (0.0576, 0.0000, 0.3459)  6 O 2.42-2.59, 4 B 2.67-2.68
Gd (0.1802, 0.5000, 0.1222)  7 O 2.34-2.53
B (0.0891, 0.5000, 0.6072)  2 O 1.49-1.50
O (0.0000, 0.0000, 0.0000)  6 Gd 2.42-2.59
O (0.1414, 0.5000, 0.8188)  1 B 1.50
O (0.2181, 0.5000, 0.6121)  1 B 1.49

V: 136.6 Å³/f.u.
size of the total moment: 0.00 μB per cell
total DFT energy (no corrections): -7.417 eV/atom

(8)
This record from the Open Quantum Materials Database describes crystalline Gd2B2O5 at its relaxed geometry. The functional is PBE-GGA.

abc: 3.5260 3.5260 6.7550
angles: 90.00 90.00 90.00
Last column: nearest neighbours and their distance in Å.
Space group P4/mmm (No. 123)
Asymmetric unit:
Gd (0.0000, 0.0000, 0.0000)  12 O 2.46-2.49
Gd (0.0000, 0.0000, 0.5000)  8 O 2.43
B (0.5000, 0.5000, 0.2381)  5 O 1.61-1.77
O (0.0000, 0.5000, 0.2533)  2 B 1.77
O (0.5000, 0.5000, 0.0000)  2 B 1.61

V: 84.0 Å³/f.u.
polymorph energy (0 for the lowest one): 0.00 eV/f.u.
size of the total moment: 0.00 μB per cell

(9)
This record from the Open Quantum Materials Database describes crystalline GdBPO at its relaxed geometry. The functional is PBE-GGA.

abc: 3.8066 5.4017 5.8824
angles: 90.00 90.00 90.00
Last column: nearest neighbours and their distance in Å.
Space group Pmc2_1 (No. 26)
Asymmetric unit:
Gd (0.0000, 0.2214, 0.0000)  2 O 2.13-2.21
B (0.5000, 0.3187, 0.3476)  2 P 1.93-1.94, 2 O 2.09
P (0.5000, 0.3767, 0.6721)  2 B 1.93-1.94
O (0.0000, 0.1580, 0.3581)  2 B 2.09, 2 Gd 2.13-2.21

V: 60.5 Å³/f.u.
polymorph energy (0 for the lowest one): 2.01 eV/f.u.
size of the total moment: 0.00 μB per cell

(10)
This record from the Open Quantum Materials Database describes crystalline GdBPO at its relaxed geometry. The functional is PBE-GGA.

abc: 5.2000 5.2000 4.3416
angles: 90.00 90.00 90.00
Last column: nearest neighbours and their distance in Å.
Space group P4/nmm (No. 129, origin choice 2)
Asymmetric unit:
Gd (0.2500, 0.7500, 0.0000)  2 O 2.17
B (0.2500, 0.2500, 0.0490)  1 P 1.78
P (0.2500, 0.2500, 0.6390)  1 B 1.78
O (0.2500, 0.7500, 0.5000)  2 Gd 2.17

V: 58.7 Å³/f.u.
polymorph energy (0 for the lowest one): 4.06 eV/f.u.
size of the total moment: 0.00 μB per cell

(11)
This record from the Open Quantum Materials Database describes crystalline GdBPO at its relaxed geometry. The functional is PBE-GGA.

abc: 3.9212 3.9212 7.1164
angles: 90.00 90.00 90.00
Last column: nearest neighbours and their distance in Å.
Space group P4/nmm (No. 129, origin choice 2)
Asymmetric unit:
Gd (0.2500, 0.2500, 0.1606)  4 O 2.27
B (0.2500, 0.7500, 0.5000)  4 P 2.08
P (0.2500, 0.2500, 0.5989)  4 B 2.08
O (0.2500, 0.7500, 0.0000)  4 Gd 2.27

V: 54.7 Å³/f.u.
polymorph energy (0 for the lowest one): 0.00 eV/f.u.
size of the total moment: 0.01 μB per cell

(12)
This record from the Open Quantum Materials Database describes crystalline GdBPO at its relaxed geometry. The functional is PBE-GGA.

abc: 3.3187 6.8170 5.7442
angles: 90.00 90.00 90.00
Last column: nearest neighbours and their distance in Å.
Space group Pmc2_1 (No. 26)
Asymmetric unit:
Gd (0.0000, 0.2235, 0.0000)  2 O 2.29
B (0.5000, 0.3474, 0.4637)  1 O 1.36
P (0.0000, 0.1930, 0.4934)  2 B 1.97
O (0.5000, 0.4526, 0.9554)  1 B 1.36

V: 65.0 Å³/f.u.
polymorph energy (0 for the lowest one): 0.39 eV/f.u.
size of the total moment: 1.04 μB per cell